No. 1
Here is a geometry-optimized Sm3Zn2In2 structure from Alexandria via LeMat-Bulk. Energies are from PBE-GGA.

The structure in POSCAR format:
```
Sm3Zn2In2
1.0
2.229 -10.806 0.000
2.229 10.806 0.000
0.000 0.000 3.645
Sm Zn In
3 2 2
Cartesian
0.000 0.000 0.000
2.229 7.256 0.000
2.229 -7.256 0.000
2.229 4.733 1.823
2.229 -4.733 1.823
2.229 1.766 1.823
2.229 -1.766 1.823
```

## Properties
formation energy	-429.6	meV/atom
theoretical density	7.7	g/cm³
magnetization	0.0	μB per formula unit



No. 2
Here is a geometry-optimized CrBr structure from Alexandria via LeMat-Bulk. Energies are from PBE-GGA.

The structure in POSCAR format:
```
CrBr
1.0
6.145 0.000 0.000
0.000 6.145 0.000
0.000 0.000 6.145
Cr Br
4 4
Cartesian
0.170 0.170 0.170
2.902 5.974 3.242
3.242 2.902 5.974
5.974 3.242 2.902
1.392 4.464 4.753
1.680 1.680 1.680
4.464 4.753 1.392
4.753 1.392 4.464
```

## Properties
formation energy without anion corrections	187	meV/atom
theoretical density	3.8	g/cm³
magnetization	5.0	μB per formula unit



No. 3
Here is a geometry-optimized Tm5Co2Rh structure from Alexandria via LeMat-Bulk. Energies are from PBE-GGA.

The structure in POSCAR format:
```
Tm5Co2Rh
1.0
-3.508 3.508 7.016
3.508 -3.508 7.016
3.508 3.508 -7.016
Tm Co Rh
10 4 2
Cartesian
0.000 0.000 0.000
4.749 1.241 -1.984
1.241 2.268 -1.984
4.749 1.241 1.984
1.241 2.268 1.984
0.000 0.000 7.016
2.268 1.241 5.031
-1.241 2.268 5.031
2.268 1.241 9.000
-1.241 2.268 9.000
2.709 0.799 0.000
2.709 -0.799 7.016
0.799 4.307 0.000
0.799 2.709 7.016
0.000 0.000 3.508
0.000 0.000 10.523
```

## Properties
formation energy	-442.2	meV/atom
theoretical density	10.2	g/cm³
magnetization	0.0	μB per formula unit



No. 4
Here is a geometry-optimized UNb2C structure from Alexandria via LeMat-Bulk. Energies are from PBE-GGA.

The structure in POSCAR format:
```
UNb2C
1.0
1.546 0.893 8.303
-1.546 0.893 8.303
0.000 -1.785 8.303
U Nb C
1 2 1
Cartesian
0.000 0.000 0.000
0.000 0.000 2.900
0.000 0.000 22.010
0.000 0.000 12.455
```

## Properties
formation energy	110.5	meV/atom
theoretical density	10.5	g/cm³
magnetization	2.5	μB per formula unit



No. 5
Here is a geometry-optimized Ca2Sm4Er structure from Alexandria via LeMat-Bulk. Energies are from PBE-GGA.

The structure in POSCAR format:
```
Ca2Sm4Er
1.0
-2.853 2.853 8.931
2.853 -2.853 8.931
2.853 2.853 -8.931
Ca Sm Er
2 4 1
Cartesian
0.000 0.000 2.282
0.000 0.000 15.580
2.853 0.000 0.000
0.000 0.000 5.874
0.000 2.853 0.000
0.000 0.000 11.988
0.000 0.000 8.931
```

## Properties
formation energy	604.1	meV/atom
theoretical density	4.8	g/cm³
magnetization	0.2	μB per formula unit



No. 6
Here is a geometry-optimized La6Cd2FeTc structure from Alexandria via LeMat-Bulk. Energies are from PBE-GGA.

The structure in POSCAR format:
```
La6Cd2FeTc
1.0
5.393 -5.401 0.000
5.393 5.401 0.000
-5.370 0.000 5.408
La Cd Fe Tc
6 2 1 1
Cartesian
0.000 0.000 0.000
-2.642 0.000 2.665
2.743 2.740 0.024
0.118 0.000 5.386
2.736 0.000 2.763
2.743 -2.740 0.024
5.393 2.698 2.667
5.393 -2.698 2.667
2.532 0.000 5.213
-2.809 0.000 5.248
```

## Properties
formation energy	-90.0	meV/atom
theoretical density	6.4	g/cm³
magnetization	0.0	μB per formula unit



No. 7
Here is a geometry-optimized Ce4NdTl5 structure from Alexandria via LeMat-Bulk. Energies are from PBE-GGA.

The structure in POSCAR format:
```
Ce4NdTl5
1.0
4.138 0.000 0.000
0.000 4.138 0.000
0.000 0.000 17.080
Ce Nd Tl
4 1 5
Cartesian
0.000 0.000 1.680
0.000 0.000 5.015
0.000 0.000 12.065
0.000 0.000 15.400
0.000 0.000 8.540
2.069 2.069 0.000
2.069 2.069 3.366
2.069 2.069 6.798
2.069 2.069 10.282
2.069 2.069 13.714
```

## Properties
formation energy	-240.9	meV/atom
theoretical density	9.8	g/cm³
magnetization	5.2	μB per formula unit



No. 8
Here is a geometry-optimized LaTbDyY2 structure from Alexandria via LeMat-Bulk. Energies are from PBE-GGA.

The structure in POSCAR format:
```
LaTbDyY2
1.0
3.613 0.000 0.000
0.000 5.593 0.000
0.000 0.000 8.688
La Tb Dy Y
1 1 1 2
Cartesian
0.000 0.000 0.000
1.807 2.797 0.000
1.807 0.000 4.344
0.000 2.797 2.780
0.000 2.797 5.907
```

## Properties
formation energy	271.6	meV/atom
theoretical density	6.0	g/cm³
magnetization	0.0	μB per formula unit



Question: What is the formula in the second record?
Answer: CrBr



Copy entry 6 word for word.
Here is a geometry-optimized La6Cd2FeTc structure from Alexandria via LeMat-Bulk. Energies are from PBE-GGA.

The structure in POSCAR format:
```
La6Cd2FeTc
1.0
5.393 -5.401 0.000
5.393 5.401 0.000
-5.370 0.000 5.408
La Cd Fe Tc
6 2 1 1
Cartesian
0.000 0.000 0.000
-2.642 0.000 2.665
2.743 2.740 0.024
0.118 0.000 5.386
2.736 0.000 2.763
2.743 -2.740 0.024
5.393 2.698 2.667
5.393 -2.698 2.667
2.532 0.000 5.213
-2.809 0.000 5.248
```

## Properties
formation energy	-90.0	meV/atom
theoretical density	6.4	g/cm³
magnetization	0.0	μB per formula unit